Record 1
Computed, not measured: a relaxed Ca12Ag6Sn crystal at the GGA-PBE level of DFT.

```
Ca12Ag6Sn
1.0
-5.256 5.256 5.256
5.256 -5.256 5.256
5.256 5.256 -5.256
Ca Ag Sn
12 6 1
Cartesian
5.256 -2.215 3.342
3.041 1.914 0.000
7.471 1.914 0.000
3.342 5.256 -2.215
1.914 0.000 3.041
0.000 3.041 1.914
5.256 2.215 3.342
3.342 5.256 2.215
1.914 0.000 7.471
-2.215 3.342 5.256
2.215 3.342 5.256
0.000 7.471 1.914
5.256 0.000 1.379
5.256 3.877 0.000
1.379 5.256 0.000
3.877 0.000 5.256
0.000 1.379 5.256
0.000 5.256 3.877
0.000 0.000 0.000
```

Values from the calculation:
ΔH_f (0 K): -282 meV/atom

---

Record 2
Computed, not measured: a relaxed TlPtW crystal at the GGA-PBE level of DFT.

```
TlPtW
1.0
0.000 3.166 3.166
3.166 0.000 3.166
3.166 3.166 0.000
Tl Pt W
1 1 1
Cartesian
0.000 0.000 0.000
3.166 3.166 3.166
1.583 1.583 1.583
```

Values from the calculation:
ΔH_f (0 K): 880 meV/atom
Energy relative to the lowest polymorph listed for this composition: 516 meV per atom

---

Record 3
Computed, not measured: a relaxed Ti4Al2Os crystal at the GGA-PBE level of DFT.

```
Ti4Al2Os
1.0
-2.330 2.330 6.792
2.330 -2.330 6.792
2.330 2.330 -6.792
Ti Al Os
4 2 1
Cartesian
2.330 0.000 0.000
0.000 0.000 2.434
0.000 2.330 0.000
0.000 0.000 11.151
0.000 0.000 5.119
0.000 0.000 8.466
0.000 0.000 0.000
```

Values from the calculation:
ΔH_f (0 K): 434 meV/atom

---

Record 4
Computed, not measured: a relaxed HfGaTc crystal at the GGA-PBE level of DFT.

```
HfGaTc
1.0
4.259 -2.227 0.000
4.259 2.227 0.000
-1.272 0.000 5.339
Hf Ga Tc
2 2 2
Cartesian
0.000 0.000 0.000
5.634 0.000 1.941
-0.258 0.000 2.729
1.889 0.000 3.937
2.920 0.000 1.223
4.539 0.000 4.545
```

Values from the calculation:
ΔH_f (0 K): -339 meV/atom
Energy relative to the lowest polymorph listed for this composition: 123 meV per atom

---

Record 5
Computed, not measured: a relaxed RbScCl4 crystal at the GGA-PBE level of DFT.

```
RbScCl4
1.0
4.772 -7.767 0.000
4.772 7.767 0.000
-1.544 0.000 6.503
Rb Sc Cl
2 2 8
Cartesian
3.613 3.934 4.878
4.386 -3.934 1.626
4.386 1.003 1.626
3.613 -1.003 4.878
2.672 2.675 2.006
2.040 0.859 5.714
2.813 -0.859 2.463
6.099 2.675 1.245
1.900 -2.675 5.258
5.187 0.859 4.041
5.959 -0.859 0.789
5.327 -2.675 4.497
```

Values from the calculation:
Energy relative to the lowest polymorph listed for this composition: 0 meV per atom
Energy relative to the elements, uncorrected: -2.091 eV/atom

---

For each record above, in turn, the calculated ρ values are 3.56, 15.26, 4.91, 11.35, 1.88 Mg/m³.